# 1
Computed, not measured: YCdCo2Tc after structural relaxation at the PBE level of DFT.

```
data_YCdCo2Tc
_chemical_formula_sum 'Y1 Cd1 Co2 Tc1'
_symmetry_space_group_name_H-M 'P 4/m m m'
_symmetry_Int_Tables_number 123
_symmetry_space_group_name_Hall '-P 4 2'
_cell_length_a 4.6561
_cell_length_b 4.6561
_cell_length_c 4.9870
_cell_angle_alpha 90.00
_cell_angle_beta 90.00
_cell_angle_gamma 90.00
loop_
_atom_site_label
_atom_site_type_symbol
_atom_site_fract_x
_atom_site_fract_y
_atom_site_fract_z
Y1 Y 0.0000 0.0000 0.0000
Cd1 Cd 0.5000 0.5000 0.5000
Co1 Co 0.0000 0.5000 0.5000
Tc1 Tc 0.5000 0.5000 0.0000
```

Results
D(E_F): 1.926 states/eV per atom
Calculated formation energy: 1.3061 eV/atom
Total magnetic moment: 4.13 μB per formula unit


# 2
Computed, not measured: Ac7Tl2Sn2 after structural relaxation at the PBE level of DFT.

```
data_Ac7Tl2Sn2
_chemical_formula_sum 'Ac14 Tl4 Sn4'
_symmetry_space_group_name_H-M 'C m m m'
_symmetry_Int_Tables_number 65
_symmetry_space_group_name_Hall '-C 2 2'
_cell_length_a 8.9013
_cell_length_b 12.2278
_cell_length_c 8.3728
_cell_angle_alpha 90.00
_cell_angle_beta 90.00
_cell_angle_gamma 90.00
loop_
_atom_site_label
_atom_site_type_symbol
_atom_site_fract_x
_atom_site_fract_y
_atom_site_fract_z
Ac1 Ac 0.0000 0.0000 0.0000
Ac2 Ac 0.0000 0.5000 0.2609
Ac3 Ac 0.2500 0.2500 0.2849
Tl1 Tl 0.1716 0.0000 0.5000
Sn1 Sn 0.0000 0.2863 0.0000
```

Results
D(E_F): 1.407 states/eV per atom
Calculated formation energy: -0.1895 eV/atom
Total magnetic moment: 0.02 μB per formula unit


Among the records above, which one has the lowest D(E_F)?
Ac7Tl2Sn2